1.
## HfTi4Pd7 (PBE)

Data for HfTi4Pd7 after structural relaxation.

Lattice parameters (Å, degrees): 5.8001 5.8001 9.3668 117.01 117.01 49.10
Fractional positions:
Hf 0.0000 0.0000 0.0000
Ti 0.2572 0.2572 0.6667
Ti 0.4110 0.4110 0.2267
Ti 0.5890 0.5890 0.7733
Ti 0.7428 0.7428 0.3333
Pd 0.0624 0.0624 0.3430
Pd 0.2163 0.2163 0.9110
Pd 0.3574 0.3574 0.4594
Pd 0.5000 0.5000 0.0000
Pd 0.6426 0.6426 0.5406
Pd 0.7837 0.7837 0.0890
Pd 0.9376 0.9376 0.6570

For the electronic total energy, the calculation gives -6.87 eV per atom. The space-group type is C2/m. The formation energy comes out at -4.53 eV/f.u. For the mass density, the calculation gives 8971 kg/m3.

***

2.
## HfTi3Pd (PBE)

Data for HfTi3Pd after structural relaxation.

Lattice parameters (Å, degrees): 4.7724 4.7724 4.7724 90.00 90.00 90.00
Fractional positions:
Hf 0.0000 0.0000 0.0000
Ti 0.0000 0.0000 0.5000
Ti 0.0000 0.5000 0.0000
Ti 0.5000 0.0000 0.0000
Pd 0.5000 0.5000 0.5000

For the electronic total energy, the calculation gives -6.56 eV per atom. The space-group type is Pm-3m. The formation energy comes out at 6.03 eV/f.u. For the offset from the most stable computed form, the calculation gives 594 kJ/mol of formula units. For the mass density, the calculation gives 6546 kg/m3.

***

3.
## HfTi6Pd12 (PBE)

Data for HfTi6Pd12 after structural relaxation.

Lattice parameters (Å, degrees): 6.7997 6.7997 6.7997 91.27 91.27 91.27
Fractional positions:
Hf 0.0000 0.0000 0.0000
Ti 0.1240 0.7095 0.2881
Ti 0.2881 0.1240 0.7095
Ti 0.2905 0.7119 0.8760
Ti 0.7095 0.2881 0.1240
Ti 0.7119 0.8760 0.2905
Ti 0.8760 0.2905 0.7119
Pd 0.0148 0.1459 0.3644
Pd 0.1459 0.3644 0.0148
Pd 0.1960 0.4692 0.5708
Pd 0.3644 0.0148 0.1459
Pd 0.4292 0.8040 0.5308
Pd 0.4692 0.5708 0.1960
Pd 0.5308 0.4292 0.8040
Pd 0.5708 0.1960 0.4692
Pd 0.6356 0.9852 0.8541
Pd 0.8040 0.5308 0.4292
Pd 0.8541 0.6356 0.9852
Pd 0.9852 0.8541 0.6356

For the electronic total energy, the calculation gives -6.71 eV per atom. The space-group type is R-3. The formation energy comes out at -7.93 eV/f.u. For the mass density, the calculation gives 9212 kg/m3.

***

4.
## HfTi3Pd (PBE)

Data for HfTi3Pd after structural relaxation.

Lattice parameters (Å, degrees): 6.8259 6.8259 5.2487 90.00 90.00 131.70
Fractional positions:
Hf 0.0846 0.9154 0.7500
Hf 0.9154 0.0846 0.2500
Ti 0.0974 0.4119 0.7500
Ti 0.3230 0.6770 0.2500
Ti 0.4119 0.0974 0.2500
Ti 0.5881 0.9026 0.7500
Ti 0.6770 0.3230 0.7500
Ti 0.9026 0.5881 0.2500
Pd 0.5000 0.5000 0.0000
Pd 0.5000 0.5000 0.5000

For the electronic total energy, the calculation gives -7.79 eV per atom. The space-group type is Cmcm. The formation energy comes out at -0.13 eV/f.u. For the offset from the most stable computed form, the calculation gives 0 kJ/mol of formula units. For the mass density, the calculation gives 7794 kg/m3.

***

| no. | DOS(E_F) (states/eV/cell) |
| --- | --- |
| 1 | 9.3 |
| 2 | 12.5 |
| 3 | 18.1 |
| 4 | 9.8 |